Material: KZn
Method: DFT, GGA-PBE
State: relaxed

Results
calculated total energy = -1.01 eV per atom

Cell: 6.7896 7.5418 5.0165 Å, 90.00 90.00 90.00°
With the nearest neighbours (Å) after each atom.
Element x y z (fractional)
K  0.8034  0.2430  0.5000  6 Zn 3.28-3.51, 2 K 3.55
K  0.5299  0.7430  0.0000  6 Zn 3.28-3.51, 2 K 3.55
K  0.3034  0.0070  0.5000  6 Zn 3.28-3.51, 2 K 3.55
K  0.0299  0.5070  0.0000  6 Zn 3.28-3.51, 2 K 3.55
Zn  0.3773  0.4480  0.5000  2 Zn 2.79
Zn  0.4560  0.3020  0.0000  2 Zn 2.79
Zn  0.9560  0.9480  0.0000  2 Zn 2.79
Zn  0.8773  0.8020  0.5000  2 Zn 2.79

Material: KZn2
Method: DFT, GGA-PBE
State: relaxed

Results
calculated total energy = -1.14 eV per atom

Cell: 15.3332 9.7620 4.5927 Å, 90.00 90.00 68.78°
With the nearest neighbours (Å) after each atom.
Element x y z (fractional)
K  0.2637  0.2434  0.5000  8 Zn 3.25-3.53, 1 K 3.63
K  0.4163  0.4117  0.0000  6 Zn 3.35-3.66, 2 K 3.69
K  0.9306  0.1175  0.0000  8 Zn 3.25-3.53, 1 K 3.63
K  0.6956  0.3918  0.0000  10 Zn 3.30-3.51, 1 K 3.63
K  0.4988  0.9692  0.5000  10 Zn 3.30-3.51, 1 K 3.63
K  0.7781  0.9490  0.5000  6 Zn 3.35-3.66, 2 K 3.68
K  0.8902  0.6400  0.0000  7 Zn 3.26-3.46
K  0.3042  0.7210  0.5000  7 Zn 3.26-3.45
Zn  0.4962  0.7144  0.0000  4 Zn 2.66-2.78
Zn  0.5414  0.5680  0.5000  4 Zn 2.66-2.85
Zn  0.0703  0.7652  0.5000  4 Zn 2.48-2.70
Zn  0.0640  0.5152  0.5000  6 Zn 2.48-2.70
Zn  0.1245  0.5960  0.0000  4 Zn 2.48-2.70
Zn  0.1061  0.9984  0.5000  6 Zn 2.50-2.69
Zn  0.1574  0.0888  0.0000  5 Zn 2.50-2.68
Zn  0.6532  0.7929  0.0000  4 Zn 2.66-2.85
Zn  0.1306  0.8462  0.0000  6 Zn 2.48-2.70
Zn  0.5822  0.2588  0.5000  3 Zn 2.70-2.85
Zn  0.8580  0.4116  0.5000  2 Zn 2.58-2.68
Zn  0.0885  0.3630  0.0000  6 Zn 2.50-2.69
Zn  0.0367  0.2729  0.5000  5 Zn 2.50-2.68
Zn  0.3362  0.9493  0.0000  2 Zn 2.58-2.68
Zn  0.6125  0.1022  0.0000  3 Zn 2.70-2.85
Zn  0.6981  0.6466  0.5000  4 Zn 2.66-2.77

Material: KZn
Method: DFT, GGA-PBE
State: relaxed

Results
calculated total energy = -1.09 eV per atom

Cell: 10.7257 8.2114 4.4886 Å, 90.00 90.00 100.29°
With the nearest neighbours (Å) after each atom.
Element x y z (fractional)
K  0.8049  0.3292  0.0000  6 Zn 3.45-3.65, 2 K 3.70
K  0.3071  0.7192  0.0000  3 Zn 3.24-3.57
K  0.5822  0.0033  0.5000  3 Zn 3.24-3.57
K  0.3185  0.1760  0.0000  1 Zn 3.27
K  0.5701  0.5458  0.5000  1 Zn 3.27
K  0.0840  0.3936  0.5000  6 Zn 3.46-3.65, 2 K 3.70
Zn  0.8853  0.0124  0.5000  6 Zn 2.61-2.81
Zn  0.7818  0.8301  0.0000  6 Zn 2.74-2.82
Zn  0.8761  0.6824  0.5000  6 Zn 2.62-2.82
Zn  0.0123  0.0402  0.0000  6 Zn 2.61-2.83
Zn  0.0037  0.7098  0.0000  6 Zn 2.62-2.81
Zn  0.1072  0.8913  0.5000  6 Zn 2.74-2.83

Material: KZn
Method: DFT, GGA-PBE
State: relaxed

Results
calculated total energy = -1.03 eV per atom

Cell: 5.5707 11.6138 4.8162 Å, 90.00 90.00 76.12°
With the nearest neighbours (Å) after each atom.
Element x y z (fractional)
K  0.8950  0.3557  0.0000  6 Zn 3.30-3.66, 2 K 3.52
K  0.1854  0.8521  0.5000  4 Zn 3.21-3.51, 2 K 3.52
K  0.4375  0.3480  0.5000  4 Zn 3.21-3.51, 2 K 3.52
K  0.6506  0.8443  0.0000  6 Zn 3.30-3.66, 2 K 3.52
K  0.2428  0.6000  0.0000  4 Zn 3.60-3.77, 6 K 3.74-3.80
Zn  0.4068  0.1327  0.0000  6 Zn 2.83-2.88
Zn  0.9392  0.0674  0.0000  6 Zn 2.83-2.88
Zn  0.1404  0.1328  0.5000  6 Zn 2.83-2.88
Zn  0.7627  0.6000  0.5000  10 K 3.60-3.79
Zn  0.6728  0.0673  0.5000  6 Zn 2.83-2.88

Material: KZn
Method: DFT, GGA-PBE
State: relaxed

Results
calculated total energy = -1.00 eV per atom

Cell: 11.8449 7.6169 6.0827 Å, 90.00 90.00 90.00°
With the nearest neighbours (Å) after each atom.
Element x y z (fractional)
Zn  0.4129  0.6724  0.5000  3 Zn 2.63-2.76
Zn  0.0489  0.0000  0.0000  2 Zn 2.76
Zn  0.2187  0.5000  0.5000  2 Zn 2.65
Zn  0.2538  0.1724  0.0000  3 Zn 2.63-2.76
Zn  0.4480  0.0000  0.0000  2 Zn 2.65
Zn  0.6178  0.5000  0.5000  2 Zn 2.76
Zn  0.4129  0.3276  0.5000  3 Zn 2.63-2.76
Zn  0.2538  0.8276  0.0000  3 Zn 2.63-2.76
K  0.9440  0.2466  0.5000  7 K 3.76-4.02, 3 Zn 3.78
K  0.0766  0.5000  0.0000  4 Zn 3.26-3.48
K  0.2299  0.0000  0.5000  6 Zn 3.30-3.32
K  0.4367  0.5000  0.0000  6 Zn 3.30-3.32
K  0.7227  0.2534  0.0000  7 K 3.76-4.02, 3 Zn 3.78
K  0.5901  0.0000  0.5000  4 Zn 3.26-3.48
K  0.7227  0.7466  0.0000  7 K 3.76-4.02, 3 Zn 3.78
K  0.9440  0.7534  0.5000  7 K 3.76-4.02, 3 Zn 3.78

Material: KZn2
Method: DFT, GGA-PBE
State: relaxed

Results
calculated total energy = -1.02 eV per atom

Cell: 6.4115 10.4871 4.5602 Å, 90.00 90.00 90.00°
With the nearest neighbours (Å) after each atom.
Element x y z (fractional)
Zn  0.4029  0.0157  0.5000  3 Zn 2.59-2.69
Zn  0.4305  0.1509  0.0000  3 Zn 2.59-2.69
Zn  0.6763  0.8333  0.5000  4 Zn 2.53-2.59
Zn  0.3296  0.3333  0.5000  2 Zn 2.53
Zn  0.5038  0.8333  0.0000  2 Zn 2.53
Zn  0.1570  0.3333  0.0000  4 Zn 2.53-2.59
Zn  0.4029  0.6509  0.5000  3 Zn 2.59-2.69
Zn  0.4305  0.5157  0.0000  3 Zn 2.59-2.69
K  0.8233  0.4828  0.5000  3 K 3.13-3.33, 5 Zn 3.22-3.50
K  0.0100  0.6839  0.0000  3 K 3.13-3.33, 5 Zn 3.22-3.50
K  0.8233  0.1839  0.5000  3 K 3.13-3.33, 5 Zn 3.22-3.50
K  0.0100  0.9828  0.0000  3 K 3.13-3.33, 5 Zn 3.22-3.50

Copy entry 4 word for word.
Material: KZn
Method: DFT, GGA-PBE
State: relaxed

Results
calculated total energy = -1.03 eV per atom

Cell: 5.5707 11.6138 4.8162 Å, 90.00 90.00 76.12°
With the nearest neighbours (Å) after each atom.
Element x y z (fractional)
K  0.8950  0.3557  0.0000  6 Zn 3.30-3.66, 2 K 3.52
K  0.1854  0.8521  0.5000  4 Zn 3.21-3.51, 2 K 3.52
K  0.4375  0.3480  0.5000  4 Zn 3.21-3.51, 2 K 3.52
K  0.6506  0.8443  0.0000  6 Zn 3.30-3.66, 2 K 3.52
K  0.2428  0.6000  0.0000  4 Zn 3.60-3.77, 6 K 3.74-3.80
Zn  0.4068  0.1327  0.0000  6 Zn 2.83-2.88
Zn  0.9392  0.0674  0.0000  6 Zn 2.83-2.88
Zn  0.1404  0.1328  0.5000  6 Zn 2.83-2.88
Zn  0.7627  0.6000  0.5000  10 K 3.60-3.79
Zn  0.6728  0.0673  0.5000  6 Zn 2.83-2.88

Repeat the second record exactly.
Material: KZn2
Method: DFT, GGA-PBE
State: relaxed

Results
calculated total energy = -1.14 eV per atom

Cell: 15.3332 9.7620 4.5927 Å, 90.00 90.00 68.78°
With the nearest neighbours (Å) after each atom.
Element x y z (fractional)
K  0.2637  0.2434  0.5000  8 Zn 3.25-3.53, 1 K 3.63
K  0.4163  0.4117  0.0000  6 Zn 3.35-3.66, 2 K 3.69
K  0.9306  0.1175  0.0000  8 Zn 3.25-3.53, 1 K 3.63
K  0.6956  0.3918  0.0000  10 Zn 3.30-3.51, 1 K 3.63
K  0.4988  0.9692  0.5000  10 Zn 3.30-3.51, 1 K 3.63
K  0.7781  0.9490  0.5000  6 Zn 3.35-3.66, 2 K 3.68
K  0.8902  0.6400  0.0000  7 Zn 3.26-3.46
K  0.3042  0.7210  0.5000  7 Zn 3.26-3.45
Zn  0.4962  0.7144  0.0000  4 Zn 2.66-2.78
Zn  0.5414  0.5680  0.5000  4 Zn 2.66-2.85
Zn  0.0703  0.7652  0.5000  4 Zn 2.48-2.70
Zn  0.0640  0.5152  0.5000  6 Zn 2.48-2.70
Zn  0.1245  0.5960  0.0000  4 Zn 2.48-2.70
Zn  0.1061  0.9984  0.5000  6 Zn 2.50-2.69
Zn  0.1574  0.0888  0.0000  5 Zn 2.50-2.68
Zn  0.6532  0.7929  0.0000  4 Zn 2.66-2.85
Zn  0.1306  0.8462  0.0000  6 Zn 2.48-2.70
Zn  0.5822  0.2588  0.5000  3 Zn 2.70-2.85
Zn  0.8580  0.4116  0.5000  2 Zn 2.58-2.68
Zn  0.0885  0.3630  0.0000  6 Zn 2.50-2.69
Zn  0.0367  0.2729  0.5000  5 Zn 2.50-2.68
Zn  0.3362  0.9493  0.0000  2 Zn 2.58-2.68
Zn  0.6125  0.1022  0.0000  3 Zn 2.70-2.85
Zn  0.6981  0.6466  0.5000  4 Zn 2.66-2.77

> calculated total energy of number 6 (KZn2)?

-1.02 eV per atom